NdDy8Tm3 | Alexandria via LeMat-Bulk | PBE-GGA | relaxed; total magnetization = 0.00 μB per formula unit; ΔE_f = 0.34 eV/atom
1.0
7.054 0.494 -4.884
-2.998 7.951 -1.281
-1.693 -0.494 8.410
Tm Dy Nd
3 8 1
Direct
0.000 0.500 0.500
0.500 0.740 0.240
0.500 0.260 0.760
0.504 0.259 0.245
0.014 0.259 0.755
0.832 0.581 0.749
0.986 0.741 0.245
0.496 0.741 0.755
0.168 0.917 0.749
0.832 0.083 0.251
0.168 0.419 0.251
0.000 0.000 0.000